Density functional theory data (PBE) for a relaxed ZnCu3Ni12 crystal.

Results
The space group is No. 123. Its total energy is -5.1833 eV/atom. The calculation puts the total moment at 6.24 μB/cell. The energy of formation is 0.000 eV per atom.

a b c (Å): 3.546 3.546 14.223
angles (deg): 90.00 90.00 90.00
Element x y z (fractional)
1 Zn 0.000 0.000 0.000
2 Cu 0.000 0.000 0.251
3 Cu 0.000 0.000 0.500
4 Cu 0.000 0.000 0.749
5 Ni 0.000 0.500 0.127
6 Ni 0.000 0.500 0.376
7 Ni 0.000 0.500 0.624
8 Ni 0.000 0.500 0.873
9 Ni 0.500 0.000 0.127
10 Ni 0.500 0.000 0.376
11 Ni 0.500 0.000 0.624
12 Ni 0.500 0.000 0.873
13 Ni 0.500 0.500 0.000
14 Ni 0.500 0.500 0.251
15 Ni 0.500 0.500 0.500
16 Ni 0.500 0.500 0.749

=====

Density functional theory data (PBE) for a relaxed Zn5CuNi crystal.

Results
The space group is No. 15. Its total energy is -2.2586 eV/atom. The calculation puts the total moment at 0.00 μB/cell. The energy of formation is 0.062 eV per atom.

a b c (Å): 6.049 6.049 6.561
angles (deg): 111.04 111.04 86.30
Element x y z (fractional)
1 Zn 0.070 0.930 0.750
2 Zn 0.163 0.340 0.113
3 Zn 0.307 0.589 0.905
4 Zn 0.340 0.163 0.613
5 Zn 0.411 0.693 0.595
6 Zn 0.589 0.307 0.405
7 Zn 0.660 0.837 0.387
8 Zn 0.693 0.411 0.095
9 Zn 0.837 0.660 0.887
10 Zn 0.930 0.070 0.250
11 Cu 0.000 0.500 0.500
12 Cu 0.500 0.000 0.000
13 Ni 0.216 0.784 0.250
14 Ni 0.784 0.216 0.750

=====

Density functional theory data (PBE) for a relaxed Zn2Cu7Ni3 crystal.

Results
The space group is No. 10. Its total energy is -3.8888 eV/atom. The calculation puts the total moment at 0.00 μB/cell. The energy of formation is 0.158 eV per atom.

a b c (Å): 2.609 3.972 15.130
angles (deg): 90.00 94.75 90.00
Element x y z (fractional)
1 Zn 0.135 0.000 0.276
2 Zn 0.865 0.000 0.724
3 Cu 0.086 0.500 0.173
4 Cu 0.218 0.000 0.432
5 Cu 0.435 0.000 0.869
6 Cu 0.500 0.500 0.000
7 Cu 0.565 0.000 0.131
8 Cu 0.782 0.000 0.568
9 Cu 0.914 0.500 0.827
10 Ni 0.000 0.000 0.000
11 Ni 0.331 0.500 0.657
12 Ni 0.669 0.500 0.343

=====

Density functional theory data (PBE) for a relaxed Zn3Cu4Ni2 crystal.

Results
The space group is No. 2. Its total energy is -3.6325 eV/atom. The calculation puts the total moment at 0.00 μB/cell. The energy of formation is -0.103 eV per atom.

a b c (Å): 4.449 6.766 7.968
angles (deg): 72.90 74.85 89.13
Element x y z (fractional)
1 Zn 0.065 0.466 0.217
2 Zn 0.272 0.862 0.114
3 Zn 0.386 0.806 0.557
4 Zn 0.614 0.194 0.443
5 Zn 0.728 0.138 0.886
6 Zn 0.935 0.534 0.783
7 Cu 0.056 0.303 0.554
8 Cu 0.171 0.251 0.999
9 Cu 0.277 0.024 0.777
10 Cu 0.494 0.418 0.667
11 Cu 0.506 0.582 0.333
12 Cu 0.723 0.976 0.223
13 Cu 0.829 0.749 0.001
14 Cu 0.944 0.697 0.446
15 Ni 0.171 0.083 0.332
16 Ni 0.389 0.639 0.891
17 Ni 0.611 0.361 0.109
18 Ni 0.829 0.917 0.668

=====

Density functional theory data (PBE) for a relaxed Zn5Cu6Ni crystal.

Results
The space group is No. 71. Its total energy is -3.1437 eV/atom. The calculation puts the total moment at 0.00 μB/cell. The energy of formation is -0.083 eV per atom.

a b c (Å): 7.004 7.004 7.004
angles (deg): 149.75 116.46 71.98
Element x y z (fractional)
1 Zn 0.000 0.000 0.000
2 Zn 0.171 0.671 0.500
3 Zn 0.343 0.343 0.000
4 Zn 0.657 0.657 0.000
5 Zn 0.829 0.329 0.500
6 Cu 0.085 0.835 0.250
7 Cu 0.250 0.500 0.750
8 Cu 0.415 0.165 0.250
9 Cu 0.585 0.835 0.750
10 Cu 0.750 0.500 0.250
11 Cu 0.915 0.165 0.750
12 Ni 0.500 0.000 0.500

=====

Density functional theory data (PBE) for a relaxed Zn6Cu12Ni crystal.

Results
The space group is No. 148. Its total energy is -3.3180 eV/atom. The calculation puts the total moment at 0.00 μB/cell. The energy of formation is -0.024 eV per atom.

a b c (Å): 6.262 6.262 6.262
angles (deg): 90.07 90.07 90.07
Element x y z (fractional)
1 Zn 0.226 0.765 0.386
2 Zn 0.235 0.614 0.774
3 Zn 0.386 0.226 0.765
4 Zn 0.614 0.774 0.235
5 Zn 0.765 0.386 0.226
6 Zn 0.774 0.235 0.614
7 Cu 0.028 0.295 0.945
8 Cu 0.055 0.972 0.705
9 Cu 0.130 0.344 0.457
10 Cu 0.295 0.945 0.028
11 Cu 0.344 0.457 0.130
12 Cu 0.457 0.130 0.344
13 Cu 0.543 0.870 0.656
14 Cu 0.656 0.543 0.870
15 Cu 0.705 0.055 0.972
16 Cu 0.870 0.656 0.543
17 Cu 0.945 0.028 0.295
18 Cu 0.972 0.705 0.055
19 Ni 0.500 0.500 0.500

=====

Density functional theory data (PBE) for a relaxed Zn5Cu8Ni crystal.

Results
The space group is No. 82. Its total energy is -3.1221 eV/atom. The calculation puts the total moment at 0.00 μB/cell. The energy of formation is 0.087 eV per atom.

a b c (Å): 6.244 6.244 6.244
angles (deg): 109.70 109.70 109.00
Element x y z (fractional)
1 Zn 0.000 0.000 0.000
2 Zn 0.199 0.294 0.678
3 Zn 0.479 0.801 0.095
4 Zn 0.616 0.521 0.322
5 Zn 0.706 0.384 0.905
6 Cu 0.147 0.439 0.080
7 Cu 0.359 0.067 0.920
8 Cu 0.415 0.144 0.402
9 Cu 0.561 0.641 0.708
10 Cu 0.741 0.012 0.598
11 Cu 0.856 0.259 0.271
12 Cu 0.933 0.853 0.292
13 Cu 0.988 0.585 0.729
14 Ni 0.250 0.750 0.500

=====

Density functional theory data (PBE) for a relaxed Zn3Cu6Ni crystal.

Results
The space group is No. 36. Its total energy is -3.3849 eV/atom. The calculation puts the total moment at 0.00 μB/cell. The energy of formation is 0.033 eV per atom.

a b c (Å): 8.074 8.074 4.559
angles (deg): 90.00 90.00 119.64
Element x y z (fractional)
1 Zn 0.106 0.894 0.500
2 Zn 0.231 0.442 0.853
3 Zn 0.442 0.231 0.353
4 Zn 0.558 0.769 0.853
5 Zn 0.769 0.558 0.353
6 Zn 0.894 0.106 0.000
7 Cu 0.048 0.466 0.272
8 Cu 0.119 0.211 0.436
9 Cu 0.205 0.795 0.056
10 Cu 0.211 0.119 0.936
11 Cu 0.440 0.560 0.349
12 Cu 0.466 0.048 0.772
13 Cu 0.534 0.952 0.272
14 Cu 0.560 0.440 0.849
15 Cu 0.789 0.881 0.436
16 Cu 0.795 0.205 0.556
17 Cu 0.881 0.789 0.936
18 Cu 0.952 0.534 0.772
19 Ni 0.278 0.722 0.566
20 Ni 0.722 0.278 0.066

=====

Density functional theory data (PBE) for a relaxed Zn2Cu6Ni crystal.

Results
The space group is No. 15. Its total energy is -3.6682 eV/atom. The calculation puts the total moment at 0.00 μB/cell. The energy of formation is -0.012 eV per atom.

a b c (Å): 6.404 6.404 6.691
angles (deg): 115.29 115.29 85.11
Element x y z (fractional)
1 Zn 0.062 0.289 0.423
2 Zn 0.289 0.062 0.923
3 Zn 0.711 0.938 0.077
4 Zn 0.938 0.711 0.577
5 Cu 0.082 0.822 0.031
6 Cu 0.137 0.415 0.863
7 Cu 0.178 0.918 0.469
8 Cu 0.287 0.501 0.309
9 Cu 0.415 0.137 0.363
10 Cu 0.499 0.713 0.191
11 Cu 0.501 0.287 0.809
12 Cu 0.585 0.863 0.637
13 Cu 0.713 0.499 0.691
14 Cu 0.822 0.082 0.531
15 Cu 0.863 0.585 0.137
16 Cu 0.918 0.178 0.969
17 Ni 0.354 0.646 0.750
18 Ni 0.646 0.354 0.250

=====

Density functional theory data (PBE) for a relaxed Zn4Cu6Ni crystal.

Results
The space group is No. 121. Its total energy is -3.1476 eV/atom. The calculation puts the total moment at 0.00 μB/cell. The energy of formation is 0.076 eV per atom.

a b c (Å): 7.164 7.164 7.164
angles (deg): 139.87 139.87 58.04
Element x y z (fractional)
1 Zn 0.029 0.641 0.000
2 Zn 0.359 0.359 0.388
3 Zn 0.641 0.029 0.000
4 Zn 0.971 0.971 0.612
5 Cu 0.000 0.500 0.500
6 Cu 0.182 0.182 0.631
7 Cu 0.449 0.818 0.000
8 Cu 0.500 0.000 0.500
9 Cu 0.551 0.551 0.369
10 Cu 0.818 0.449 0.000
11 Ni 0.000 0.000 0.000

=====

Density functional theory data (PBE) for a relaxed Zn2CuNi crystal.

Results
The space group is No. 216. Its total energy is -3.2032 eV/atom. The calculation puts the total moment at 0.00 μB/cell. The energy of formation is -0.097 eV per atom.

a b c (Å): 5.860 5.860 5.860
angles (deg): 90.00 90.00 90.00
Element x y z (fractional)
1 Zn 0.000 0.000 0.000
2 Zn 0.000 0.500 0.500
3 Zn 0.250 0.250 0.250
4 Zn 0.250 0.750 0.750
5 Zn 0.500 0.000 0.500
6 Zn 0.500 0.500 0.000
7 Zn 0.750 0.250 0.750
8 Zn 0.750 0.750 0.250
9 Cu 0.000 0.000 0.500
10 Cu 0.000 0.500 0.000
11 Cu 0.500 0.000 0.000
12 Cu 0.500 0.500 0.500
13 Ni 0.250 0.250 0.750
14 Ni 0.250 0.750 0.250
15 Ni 0.750 0.250 0.250
16 Ni 0.750 0.750 0.750

=====

Density functional theory data (PBE) for a relaxed ZnCu7Ni3 crystal.

Results
The space group is No. 156. Its total energy is -4.1930 eV/atom. The calculation puts the total moment at 0.00 μB/cell. The energy of formation is 0.106 eV per atom.

a b c (Å): 5.072 5.072 6.146
angles (deg): 90.00 90.00 120.00
Element x y z (fractional)
1 Zn 0.000 0.000 0.000
2 Cu 0.333 0.667 0.348
3 Cu 0.337 0.168 0.351
4 Cu 0.501 0.003 0.004
5 Cu 0.501 0.499 0.004
6 Cu 0.832 0.168 0.351
7 Cu 0.832 0.663 0.351
8 Cu 0.997 0.499 0.004
9 Ni 0.168 0.336 0.675
10 Ni 0.168 0.832 0.675
11 Ni 0.664 0.832 0.675

=====

Density functional theory data (PBE) for a relaxed Zn3Cu8Ni2 crystal.

Results
The space group is No. 12. Its total energy is -3.6511 eV/atom. The calculation puts the total moment at 0.00 μB/cell. The energy of formation is 0.053 eV per atom.

a b c (Å): 6.361 6.361 4.708
angles (deg): 100.78 100.78 65.11
Element x y z (fractional)
1 Zn 0.000 0.000 0.000
2 Zn 0.212 0.788 0.500
3 Zn 0.788 0.212 0.500
4 Cu 0.019 0.390 0.237
5 Cu 0.183 0.183 0.744
6 Cu 0.390 0.019 0.237
7 Cu 0.398 0.398 0.090
8 Cu 0.602 0.602 0.910
9 Cu 0.610 0.981 0.763
10 Cu 0.817 0.817 0.256
11 Cu 0.981 0.610 0.763
12 Ni 0.384 0.384 0.582
13 Ni 0.616 0.616 0.418

=====

Density functional theory data (PBE) for a relaxed Zn6Cu10Ni crystal.

Results
The space group is No. 162. Its total energy is -3.2047 eV/atom. The calculation puts the total moment at 0.00 μB/cell. The energy of formation is -0.006 eV per atom.

a b c (Å): 7.106 7.106 5.057
angles (deg): 90.00 90.00 120.00
Element x y z (fractional)
1 Zn 0.000 0.338 0.332
2 Zn 0.000 0.662 0.668
3 Zn 0.338 0.000 0.332
4 Zn 0.338 0.338 0.668
5 Zn 0.662 0.000 0.668
6 Zn 0.662 0.662 0.332
7 Cu 0.000 0.314 0.841
8 Cu 0.000 0.686 0.159
9 Cu 0.314 0.000 0.841
10 Cu 0.314 0.314 0.159
11 Cu 0.333 0.667 0.000
12 Cu 0.333 0.667 0.500
13 Cu 0.667 0.333 0.000
14 Cu 0.667 0.333 0.500
15 Cu 0.686 0.000 0.159
16 Cu 0.686 0.686 0.841
17 Ni 0.000 0.000 0.500

=====

Density functional theory data (PBE) for a relaxed ZnCuNi3 crystal.

Results
The space group is No. 107. Its total energy is -4.3005 eV/atom. The calculation puts the total moment at 1.75 μB/cell. The energy of formation is 0.242 eV per atom.

a b c (Å): 3.275 3.275 12.034
angles (deg): 90.00 90.00 90.00
Element x y z (fractional)
1 Zn 0.000 0.000 0.000
2 Zn 0.500 0.500 0.500
3 Cu 0.000 0.000 0.615
4 Cu 0.500 0.500 0.115
5 Ni 0.000 0.000 0.416
6 Ni 0.000 0.500 0.269
7 Ni 0.000 0.500 0.769
8 Ni 0.500 0.000 0.269
9 Ni 0.500 0.000 0.769
10 Ni 0.500 0.500 0.916

=====

Density functional theory data (PBE) for a relaxed Zn2Cu5Ni crystal.

Results
The space group is No. 55. Its total energy is -3.6888 eV/atom. The calculation puts the total moment at 0.00 μB/cell. The energy of formation is -0.088 eV per atom.

a b c (Å): 5.237 10.448 3.577
angles (deg): 90.00 90.00 90.00
Element x y z (fractional)
1 Zn 0.240 0.122 0.000
2 Zn 0.260 0.622 0.000
3 Zn 0.740 0.378 0.000
4 Zn 0.760 0.878 0.000
5 Cu 0.000 0.500 0.500
6 Cu 0.008 0.750 0.500
7 Cu 0.247 0.374 0.000
8 Cu 0.253 0.874 0.000
9 Cu 0.492 0.250 0.500
10 Cu 0.500 0.000 0.500
11 Cu 0.508 0.750 0.500
12 Cu 0.747 0.126 0.000
13 Cu 0.753 0.626 0.000
14 Cu 0.992 0.250 0.500
15 Ni 0.000 0.000 0.500
16 Ni 0.500 0.500 0.500

=====

Density functional theory data (PBE) for a relaxed Zn2Cu5Ni2 crystal.

Results
The space group is No. 2. Its total energy is -3.9174 eV/atom. The calculation puts the total moment at 0.00 μB/cell. The energy of formation is -0.074 eV per atom.

a b c (Å): 3.579 5.757 5.836
angles (deg): 107.79 90.01 107.96
Element x y z (fractional)
1 Zn 0.056 0.111 0.334
2 Zn 0.944 0.889 0.666
3 Cu 0.169 0.338 0.999
4 Cu 0.277 0.554 0.667
5 Cu 0.500 0.000 0.000
6 Cu 0.723 0.446 0.333
7 Cu 0.831 0.662 0.001
8 Ni 0.389 0.779 0.332
9 Ni 0.611 0.221 0.668

=====

Density functional theory data (PBE) for a relaxed ZnCu4Ni crystal.

Results
The space group is No. 216. Its total energy is -3.7947 eV/atom. The calculation puts the total moment at 0.00 μB/cell. The energy of formation is 0.112 eV per atom.

a b c (Å): 4.753 4.753 4.753
angles (deg): 60.00 60.00 60.00
Element x y z (fractional)
1 Zn 0.000 0.000 0.000
2 Cu 0.125 0.625 0.625
3 Cu 0.625 0.125 0.625
4 Cu 0.625 0.625 0.125
5 Cu 0.625 0.625 0.625
6 Ni 0.250 0.250 0.250

=====

Density functional theory data (PBE) for a relaxed ZnCu6Ni crystal.

Results
The space group is No. 123. Its total energy is -3.9824 eV/atom. The calculation puts the total moment at 0.00 μB/cell. The energy of formation is -0.028 eV per atom.

a b c (Å): 5.161 5.161 3.606
angles (deg): 90.00 90.00 90.00
Element x y z (fractional)
1 Zn 0.000 0.000 0.000
2 Cu 0.000 0.500 0.000
3 Cu 0.254 0.254 0.500
4 Cu 0.254 0.746 0.500
5 Cu 0.500 0.000 0.000
6 Cu 0.746 0.254 0.500
7 Cu 0.746 0.746 0.500
8 Ni 0.500 0.500 0.000

=====

Density functional theory data (PBE) for a relaxed ZnCu7Ni2 crystal.

Results
The space group is No. 65. Its total energy is -3.6993 eV/atom. The calculation puts the total moment at 0.00 μB/cell. The energy of formation is 0.452 eV per atom.

a b c (Å): 6.814 6.814 3.935
angles (deg): 90.00 90.00 122.98
Element x y z (fractional)
1 Zn 0.000 0.000 0.000
2 Cu 0.075 0.292 0.500
3 Cu 0.201 0.799 0.000
4 Cu 0.292 0.075 0.500
5 Cu 0.500 0.500 0.500
6 Cu 0.708 0.925 0.500
7 Cu 0.799 0.201 0.000
8 Cu 0.925 0.708 0.500
9 Ni 0.299 0.701 0.500
10 Ni 0.701 0.299 0.500